Entry from the Alexandria database: an optimized crystal structure of ScTiZnPd2 (GGA-PBE).

```
ScTiZnPd2
1.0
4.609 0.000 0.000
0.000 4.760 0.000
0.000 0.000 4.609
Zn Ti Pd Sc
1 1 2 1
direct
0.000 0.000 0.000
0.500 0.500 0.500
0.000 0.000 0.500
0.500 0.000 0.000
0.000 0.500 0.000
```

Output
symmetry = P4/mmm, No. 123

Entry from the Alexandria database: an optimized crystal structure of ScTl2Pd (GGA-PBE).

```
ScTl2Pd
1.0
3.313 0.000 0.000
1.656 2.869 0.000
1.656 0.956 10.336
Sc Tl Pd
1 2 1
direct
0.000 0.000 0.000
0.904 0.904 0.289
0.096 0.096 0.711
0.500 0.500 0.500
```

Output
symmetry = R-3m, No. 166

Entry from the Alexandria database: an optimized crystal structure of Sc6Tl3Pd (GGA-PBE).

```
Sc6Tl3Pd
1.0
-4.515 -1.913 -0.704
2.716 -3.644 -7.518
1.828 -7.213 7.885
Sc Tl Pd
12 6 2
direct
0.250 0.089 0.874
0.250 0.456 0.086
0.250 0.863 0.325
0.750 0.863 0.826
0.250 0.221 0.493
0.750 0.779 0.507
0.250 0.137 0.174
0.750 0.544 0.914
0.750 0.137 0.675
0.750 0.911 0.126
0.250 0.673 0.677
0.750 0.327 0.323
0.250 0.527 0.385
0.750 0.473 0.615
0.250 0.369 0.782
0.750 0.631 0.218
0.250 0.780 0.977
0.750 0.220 0.023
0.250 0.949 0.622
0.750 0.051 0.378
```

Output
symmetry = P2_1/m, No. 11

Spin magnetization for every record listed, in sequence, given in μB per formula unit: 0.00; 0.00; 1.11.
Formation enthalpy at 0 K for every record listed, in sequence, given in eV per formula unit: 2.17; 0.40; -3.36.